Crystalline K3MnBr5 at its relaxed geometry. Source: Alexandria, functional PBE.

Lattice parameters (Å, degrees): 9.0927 9.0927 15.1264 90.00 90.00 90.00
Last column: nearest neighbours and their distance in Å.
Space group I4/mcm (No. 140)
One atom of each set of equivalent atoms:
K (0.0000, 0.0000, 0.2500)  10 Br 3.78-3.79
K (0.1605, 0.3395, 0.0000)  8 Br 3.30-3.61
Mn (0.0000, 0.5000, 0.2500)  4 Br 2.48
Br (0.0000, 0.0000, 0.0000)  6 K 3.41-3.78
Br (0.1508, 0.3492, 0.3523)  1 Mn 2.48

Output
Calculated density ... 3.04 g/cm3
ΔE_f (raw) ... -1.42 eV/atom

Crystalline KMn2Br at its relaxed geometry. Source: Alexandria, functional PBE.

Lattice parameters (Å, degrees): 7.7222 7.7222 7.7222 90.00 90.00 90.00
Last column: nearest neighbours and their distance in Å.
Space group F-43m (No. 216)
One atom of each set of equivalent atoms:
K (0.0000, 0.0000, 0.0000)  4 Mn 3.34, 4 Br 3.34
Mn (0.0000, 0.0000, 0.5000)  4 Mn 3.34, 4 Br 3.34
Mn (0.2500, 0.2500, 0.2500)  4 Mn 3.34, 4 K 3.34
Br (0.2500, 0.2500, 0.7500)  4 Mn 3.34, 4 K 3.34

Output
Calculated density ... 3.30 g/cm3
Polymorph energy (0 for the lowest one) ... 463 meV/atom
ΔE_f (raw) ... 0.67 eV/atom

Crystalline KMn2Br5 at its relaxed geometry. Source: Alexandria, functional PBE.

Lattice parameters (Å, degrees): 5.6260 16.8199 13.7137 90.00 90.00 90.00
Last column: nearest neighbours and their distance in Å.
Space group Cmcm (No. 63)
One atom of each set of equivalent atoms:
K (0.0000, 0.0804, 0.2500)  4 Br 3.24-3.41
Mn (0.0000, 0.2129, 0.5947)  3 Br 2.39-2.63
Br (0.0000, 0.0707, 0.6031)  1 Mn 2.39
Br (0.0000, 0.2614, 0.0832)  3 Mn 2.57-2.85
Br (0.0000, 0.3046, 0.7500)  2 Mn 2.63

Output
Calculated density ... 2.81 g/cm3
ΔE_f (raw) ... -0.95 eV/atom

Crystalline KMn2Br at its relaxed geometry. Source: Alexandria, functional PBE.

Lattice parameters (Å, degrees): 5.8305 11.8750 3.3830 90.00 90.00 90.00
Last column: nearest neighbours and their distance in Å.
Space group Cmmm (No. 65)
One atom of each set of equivalent atoms:
K (0.0000, 0.0000, 0.0000)  2 Br 2.92
Mn (0.2500, 0.2500, 0.5000)  2 Mn 2.92
Br (0.0000, 0.5000, 0.0000)  2 K 2.92

Output
Calculated density ... 3.25 g/cm3
Polymorph energy (0 for the lowest one) ... 415 meV/atom
ΔE_f (raw) ... 0.62 eV/atom

Crystalline KMn2Br at its relaxed geometry. Source: Alexandria, functional PBE.

Lattice parameters (Å, degrees): 3.5293 3.5293 30.5833 90.00 90.00 120.00
Last column: nearest neighbours and their distance in Å.
Space group R-3m (No. 166, hexagonal axes)
One atom of each set of equivalent atoms:
K (0.0000, 0.0000, 0.0000)  6 K 3.53, 6 Mn 3.64
Mn (0.0000, 0.0000, 0.2348)  3 Br 2.91
Br (0.0000, 0.0000, 0.5000)  6 Mn 2.91

Output
Calculated density ... 3.46 g/cm3
Polymorph energy (0 for the lowest one) ... 464 meV/atom
ΔE_f (raw) ... 0.67 eV/atom

Crystalline KMn2Br at its relaxed geometry. Source: Alexandria, functional PBE.

Lattice parameters (Å, degrees): 3.3449 5.8085 6.0019 90.00 90.00 90.00
Last column: nearest neighbours and their distance in Å.
Space group Pmmm (No. 47)
One atom of each set of equivalent atoms:
K (0.0000, 0.0000, 0.0000)  2 Br 2.90
Mn (0.5000, 0.2536, 0.5000)  2 Mn 2.86-2.95
Br (0.0000, 0.5000, 0.0000)  2 K 2.90

Output
Calculated density ... 3.26 g/cm3
Polymorph energy (0 for the lowest one) ... 446 meV/atom
ΔE_f (raw) ... 0.65 eV/atom

Crystalline K2Mn2Br7 at its relaxed geometry. Source: Alexandria, functional PBE.

Lattice parameters (Å, degrees): 10.6589 13.6815 6.2147 90.00 99.24 90.00
Last column: nearest neighbours and their distance in Å.
Space group C2/m (No. 12)
One atom of each set of equivalent atoms:
K (0.0000, 0.2017, 0.0000)  6 Br 3.34-3.44
Mn (0.2232, 0.5000, 0.4141)  4 Br 2.41-2.52
Br (0.0000, 0.5000, 0.5000)  2 Mn 2.52
Br (0.1114, 0.0000, 0.2707)  1 Mn 2.42
Br (0.2368, 0.3431, 0.2418)  1 Mn 2.41

Output
Calculated density ... 2.77 g/cm3
ΔE_f (raw) ... -1.05 eV/atom

Crystalline KMn2Br at its relaxed geometry. Source: Alexandria, functional PBE.

Lattice parameters (Å, degrees): 3.6524 3.4885 8.2385 90.00 102.80 90.00
Last column: nearest neighbours and their distance in Å.
Space group Pm (No. 6)
One atom of each set of equivalent atoms:
K (0.0000, 0.0000, 0.0000)  4 Br 3.24, 2 K 3.49
Mn (0.3313, 0.5000, 0.6590)  4 Mn 2.78
Mn (0.7590, 0.0000, 0.5145)  2 Br 2.73, 4 Mn 2.78
Br (0.6261, 0.5000, 0.2525)  2 Mn 2.73

Output
Calculated density ... 3.71 g/cm3
Polymorph energy (0 for the lowest one) ... 0 meV/atom
ΔE_f (raw) ... 0.20 eV/atom

We obtain M_tot values of 5.00; 9.69; 10.00; 9.36; 9.54; 9.08; 9.00; 8.07 μB/f.u. for the records listed above, in that order.